No. 1
First-principles (PBE) data for an optimized crystal structure of Sr2Al6O11, as listed in Alexandria via LeMat-Bulk.

Calculated values
For the total energy, the calculation gives -7.285 eV/atom.

Cell: 4.9340 22.1641 8.4897 Å, 90.00 90.00 90.00°
Space group Pnnm (No. 58)
Inequivalent atoms, fractional coordinates:
Sr 0.0433 0.1548 0.0000
Sr 0.1194 0.1384 0.5000
Al 0.0000 0.0000 0.0000
Al 0.0000 0.0000 0.3330
Al 0.0000 0.5000 0.0000
Al 0.0087 0.4257 0.3209
Al 0.1183 0.2862 0.2052
O 0.0042 0.6535 0.3179
O 0.0263 0.7841 0.2614
O 0.0631 0.2972 0.0000
O 0.1508 0.9516 0.1629
O 0.1703 0.9551 0.5000
O 0.1734 0.5562 0.5000
O 0.1773 0.5483 0.1581

=====

No. 2
First-principles (PBE) data for an optimized crystal structure of MgGePd6, as listed in Alexandria via LeMat-Bulk.

Calculated values
As for the energy relative to the elements: -0.443 eV/atom.

Cell: 7.3949 8.0773 4.1295 Å, 90.00 90.00 90.00°
Space group Cmmm (No. 65)
Inequivalent atoms, fractional coordinates:
Mg 0.0000 0.0000 0.0000
Ge 0.0000 0.5000 0.0000
Pd 0.0000 0.2105 0.5000
Pd 0.2020 0.5000 0.5000
Pd 0.2500 0.2500 0.0000

=====

No. 3
First-principles (PBE) data for an optimized crystal structure of HfZn2Au8, as listed in Alexandria via LeMat-Bulk.

Calculated values
As for the energy relative to the elements: -0.193 eV/atom.

Cell: 8.5948 11.4636 4.0841 Å, 90.00 91.82 90.00°
Space group C2/m (No. 12)
Inequivalent atoms, fractional coordinates:
Hf 0.0000 0.0000 0.0000
Zn 0.0000 0.3858 0.5000
Au 0.0000 0.2501 0.0000
Au 0.1658 0.5000 0.9933
Au 0.1736 0.1330 0.5063

=====

No. 4
First-principles (PBE) data for an optimized crystal structure of V2CuSb, as listed in Alexandria via LeMat-Bulk.

Calculated values
For the total energy, the calculation gives -6.570 eV/atom.

Cell: 3.7904 3.7904 4.1638 Å, 90.00 90.00 90.00°
Space group P4/mmm (No. 123)
Inequivalent atoms, fractional coordinates:
V 0.0000 0.5000 0.0000
Cu 0.0000 0.0000 0.5000
Sb 0.5000 0.5000 0.5000

=====

No. 5
First-principles (PBE) data for an optimized crystal structure of PrSm5Sc3, as listed in Alexandria via LeMat-Bulk.

Calculated values
As for the energy relative to the elements: 0.438 eV/atom.

Cell: 14.7523 11.3731 9.6532 Å, 90.00 129.77 90.00°
Space group C2/m (No. 12)
Inequivalent atoms, fractional coordinates:
Pr 0.2463 0.0000 0.0828
Sm 0.0000 0.2458 0.5000
Sm 0.1320 0.2470 0.2396
Sm 0.2235 0.5000 0.5459
Sm 0.2295 0.0000 0.7337
Sc 0.0000 0.0000 0.0000
Sc 0.0000 0.5000 0.5000
Sc 0.0064 0.0000 0.3235
Sc 0.0139 0.5000 0.8555

=====

No. 6
First-principles (PBE) data for an optimized crystal structure of ZrAlRe2, as listed in Alexandria via LeMat-Bulk.

Calculated values
As for the energy relative to the elements: 0.023 eV/atom.

Cell: 2.8577 2.8577 28.4323 Å, 90.00 90.00 120.00°
Space group R3m (No. 160, hexagonal axes)
Inequivalent atoms, fractional coordinates:
Zr 0.0000 0.0000 0.0000
Al 0.0000 0.0000 0.2421
Re 0.0000 0.0000 0.4986
Re 0.0000 0.0000 0.7587

=====

Number 1 is which compound?
Sr2Al6O11

=====

What is the formula in the first record?
Sr2Al6O11